This record from Alexandria describes a geometry-optimized HgF structure. The functional is PBE.

abc: 5.6917 5.6917 5.6917
angles: 90.00 90.00 90.00
Fractional positions:
Hg (0.0000, 0.0000, 0.0000)
Hg (0.0000, 0.5000, 0.5000)
Hg (0.5000, 0.0000, 0.5000)
Hg (0.5000, 0.5000, 0.0000)
F (0.2500, 0.2500, 0.2500)
F (0.2500, 0.7500, 0.7500)
F (0.7500, 0.2500, 0.7500)
F (0.7500, 0.7500, 0.2500)

Computed properties:
E_tot: -15.50 eV for the cell shown

---

This record from Alexandria describes a geometry-optimized Hg2F3 structure. The functional is PBE.

abc: 5.3059 6.1402 7.1994
angles: 57.38 68.38 64.40
Fractional positions:
Hg (0.7932, 0.8565, 0.9546)
Hg (0.6043, 0.6435, 0.5454)
Hg (0.3957, 0.3565, 0.4546)
Hg (0.2068, 0.1435, 0.0454)
F (0.2403, 0.5894, 0.8585)
F (0.6883, 0.9106, 0.6415)
F (0.9712, 0.2500, 0.7500)
F (0.0288, 0.7500, 0.2500)
F (0.3117, 0.0894, 0.3585)
F (0.7597, 0.4106, 0.1415)

Computed properties:
E_tot: -24.60 eV for the cell shown

---

This record from Alexandria describes a geometry-optimized HgF5 structure. The functional is PBE.

abc: 5.0249 3.4975 4.8616
angles: 111.08 90.00 90.00
Each line ends with the local moment (μB).
Fractional positions:
Hg (0.0000, 0.0000, 0.0000)  0.11
F (0.5000, 0.8576, 0.7151)  0.69
F (0.0000, 0.6413, 0.2826)  0.13
F (0.5000, 0.5000, 0.0000)  0.79
F (0.0000, 0.3587, 0.7174)  0.13
F (0.5000, 0.1424, 0.2849)  0.69

Computed properties:
E_tot: -12.46 eV for the cell shown

---

This record from Alexandria describes a geometry-optimized HgF4 structure. The functional is PBE.

abc: 6.3740 6.3740 5.4585
angles: 91.45 91.45 56.39
Each line ends with the local moment (μB).
Fractional positions:
Hg (0.3402, 0.3402, 0.0030)  0.22
Hg (0.6598, 0.6598, 0.9970)  0.22
F (0.5040, 0.5040, 0.2424)  0.24
F (0.0007, 0.5069, 0.2436)  0.26
F (0.9993, 0.4931, 0.7564)  0.26
F (0.4960, 0.4960, 0.7576)  0.24
F (0.9397, 0.9397, 0.4538)  0.03
F (0.4931, 0.9993, 0.7564)  0.26
F (0.0603, 0.0603, 0.5462)  0.03
F (0.5069, 0.0007, 0.2436)  0.26

Computed properties:
E_tot: -23.08 eV for the cell shown

---

This record from Alexandria describes a geometry-optimized HgF structure. The functional is PBE.

abc: 4.0493 4.0493 6.5125
angles: 90.00 90.00 120.00
Fractional positions:
Hg (0.3333, 0.6667, 0.7302)
Hg (0.6667, 0.3333, 0.2302)
F (0.3333, 0.6667, 0.3518)
F (0.6667, 0.3333, 0.8518)

Computed properties:
E_tot: -7.72 eV for the cell shown

---

This record from Alexandria describes a geometry-optimized HgF structure. The functional is PBE.

abc: 3.6014 5.3504 5.3504
angles: 128.66 90.00 90.00
Fractional positions:
Hg (0.2500, 0.3898, 0.6101)
Hg (0.7500, 0.6102, 0.3899)
F (0.2500, 0.7793, 0.2208)
F (0.7500, 0.2207, 0.7792)

Computed properties:
E_tot: -8.96 eV for the cell shown

---

This record from Alexandria describes a geometry-optimized HgF structure. The functional is PBE.

abc: 10.8663 10.8663 3.5919
angles: 90.00 90.00 90.00
Fractional positions:
Hg (0.3091, 0.1716, 0.0000)
Hg (0.6909, 0.8284, 0.0000)
Hg (0.8284, 0.3091, 0.0000)
Hg (0.1716, 0.6909, 0.0000)
Hg (0.8091, 0.6716, 0.5000)
Hg (0.1909, 0.3284, 0.5000)
Hg (0.3284, 0.8091, 0.5000)
Hg (0.6716, 0.1909, 0.5000)
F (0.4743, 0.8175, 0.0000)
F (0.5257, 0.1825, 0.0000)
F (0.1825, 0.4743, 0.0000)
F (0.8175, 0.5257, 0.0000)
F (0.9743, 0.3175, 0.5000)
F (0.0257, 0.6825, 0.5000)
F (0.6825, 0.9743, 0.5000)
F (0.3175, 0.0257, 0.5000)

Computed properties:
E_tot: -35.01 eV for the cell shown

---

This record from Alexandria describes a geometry-optimized Hg2F structure. The functional is PBE.

abc: 5.7322 5.7322 5.7322
angles: 60.00 60.00 60.00
Fractional positions:
Hg (0.1250, 0.6250, 0.6250)
Hg (0.6250, 0.1250, 0.6250)
Hg (0.6250, 0.6250, 0.6250)
Hg (0.6250, 0.6250, 0.1250)
F (0.0000, 0.0000, 0.0000)
F (0.2500, 0.2500, 0.2500)

Computed properties:
E_tot: -7.05 eV for the cell shown

---

This record from Alexandria describes a geometry-optimized Hg3F structure. The functional is PBE.

abc: 5.2107 5.2107 5.2107
angles: 127.90 127.90 76.78
Fractional positions:
Hg (0.7500, 0.2500, 0.5000)
Hg (0.2500, 0.7500, 0.5000)
Hg (0.5000, 0.5000, 0.0000)
F (0.0000, 0.0000, 0.0000)

Computed properties:
E_tot: -4.57 eV for the cell shown

---

This record from Alexandria describes a geometry-optimized HgF structure. The functional is PBE.

abc: 5.3054 5.3054 5.3054
angles: 90.00 90.00 90.00
Fractional positions:
Hg (0.5000, 0.5000, 0.5000)
Hg (0.5000, 0.0000, 0.0000)
Hg (0.0000, 0.5000, 0.0000)
Hg (0.0000, 0.0000, 0.5000)
F (0.0000, 0.0000, 0.0000)
F (0.0000, 0.5000, 0.5000)
F (0.5000, 0.0000, 0.5000)
F (0.5000, 0.5000, 0.0000)

Computed properties:
E_tot: -15.33 eV for the cell shown

---

This record from Alexandria describes a geometry-optimized HgF structure. The functional is PBE.

abc: 5.0453 8.1580 7.7306
angles: 90.00 90.00 90.00
Fractional positions:
Hg (0.4428, 0.1679, 0.5553)
Hg (0.9428, 0.3321, 0.4447)
Hg (0.5572, 0.6679, 0.9447)
Hg (0.0572, 0.8321, 0.0553)
Hg (0.4364, 0.7377, 0.2962)
Hg (0.9364, 0.7623, 0.7038)
Hg (0.5636, 0.2377, 0.2038)
Hg (0.0636, 0.2623, 0.7962)
F (0.2704, 0.8753, 0.5362)
F (0.7704, 0.6247, 0.4638)
F (0.7296, 0.3753, 0.9638)
F (0.2296, 0.1247, 0.0362)
F (0.2170, 0.4563, 0.2530)
F (0.7170, 0.0437, 0.7470)
F (0.7830, 0.9563, 0.2470)
F (0.2831, 0.5437, 0.7530)

Computed properties:
E_tot: -34.79 eV for the cell shown

---

This record from Alexandria describes a geometry-optimized Hg3F structure. The functional is PBE.

abc: 4.1451 4.4388 5.6072
angles: 90.00 90.00 90.00
Fractional positions:
Hg (0.5000, 0.2330, 0.0000)
Hg (0.5000, 0.3507, 0.5000)
Hg (0.0000, 0.8372, 0.5000)
F (0.0000, 0.9124, 0.0000)

Computed properties:
E_tot: -4.68 eV for the cell shown

---

This record from Alexandria describes a geometry-optimized HgF structure. The functional is PBE.

abc: 8.6310 3.3427 8.7893
angles: 90.00 90.00 90.00
Fractional positions:
Hg (0.7607, 0.9565, 0.3869)
Hg (0.7393, 0.0435, 0.8869)
Hg (0.2393, 0.9565, 0.3869)
Hg (0.2607, 0.0435, 0.8869)
Hg (0.0000, 0.6923, 0.7658)
Hg (0.5000, 0.3077, 0.2658)
F (0.8210, 0.4675, 0.5790)
F (0.6790, 0.5325, 0.0790)
F (0.1790, 0.4675, 0.5790)
F (0.3210, 0.5325, 0.0790)
F (0.0000, 0.8118, 0.3045)
F (0.5000, 0.1882, 0.8045)

Computed properties:
E_tot: -25.36 eV for the cell shown

---

This record from Alexandria describes a geometry-optimized HgF2 structure. The functional is PBE.

abc: 3.8100 5.9902 7.5105
angles: 90.00 90.00 90.00
Fractional positions:
Hg (0.2500, 0.7568, 0.9051)
Hg (0.2500, 0.2568, 0.5949)
Hg (0.7500, 0.2432, 0.0949)
Hg (0.7500, 0.7432, 0.4051)
F (0.2500, 0.3694, 0.9056)
F (0.2500, 0.8694, 0.5944)
F (0.7500, 0.6306, 0.0944)
F (0.7500, 0.1306, 0.4056)
F (0.2500, 0.0069, 0.1506)
F (0.2500, 0.5069, 0.3494)
F (0.7500, 0.9931, 0.8494)
F (0.7500, 0.4931, 0.6506)

Computed properties:
E_tot: -32.90 eV for the cell shown

---

This record from Alexandria describes a geometry-optimized HgF2 structure. The functional is PBE.

abc: 3.8716 3.8895 6.1505
angles: 90.00 90.00 107.00
Fractional positions:
Hg (0.0218, 0.4816, 0.2500)
Hg (0.4782, 0.0184, 0.7500)
F (0.7500, 0.7500, 0.0000)
F (0.3646, 0.1368, 0.2500)
F (0.7500, 0.7500, 0.5000)
F (0.1354, 0.3632, 0.7500)

Computed properties:
E_tot: -16.06 eV for the cell shown

---

This record from Alexandria describes a geometry-optimized Hg3F structure. The functional is PBE.

abc: 4.4199 4.4199 4.4199
angles: 90.00 90.00 90.00
Fractional positions:
Hg (0.0000, 0.5000, 0.5000)
Hg (0.5000, 0.0000, 0.5000)
Hg (0.5000, 0.5000, 0.0000)
F (0.0000, 0.0000, 0.0000)

Computed properties:
E_tot: -4.51 eV for the cell shown

---

This record from Alexandria describes a geometry-optimized HgF structure. The functional is PBE.

abc: 3.3921 4.0546 5.6269
angles: 111.12 90.00 90.00
Fractional positions:
Hg (0.2500, 0.1052, 0.7110)
Hg (0.7500, 0.8948, 0.2890)
F (0.2500, 0.3186, 0.1372)
F (0.7500, 0.6814, 0.8628)

Computed properties:
E_tot: -8.78 eV for the cell shown

---

This record from Alexandria describes a geometry-optimized HgF5 structure. The functional is PBE.

abc: 3.3286 9.0120 4.7769
angles: 68.60 103.02 127.10
Each line ends with the local moment (μB).
Fractional positions:
Hg (0.8242, 0.1047, 0.1154)  0.16
F (0.6334, 0.6762, 0.7133)  0.03
F (0.6137, 0.2293, 0.3479)  0.31
F (0.3932, 0.2212, 0.7720)  0.32
F (0.0029, 0.8864, 0.2250)  0.20
F (0.3658, 0.5488, 0.9931)  0.04

Computed properties:
E_tot: -13.29 eV for the cell shown

---

This record from Alexandria describes a geometry-optimized Hg2F structure. The functional is PBE.

abc: 4.9468 5.8098 6.6648
angles: 79.39 58.82 68.21
Fractional positions:
Hg (0.1665, 0.7850, 0.1307)
Hg (0.6573, 0.9470, 0.7918)
Hg (0.6924, 0.5958, 0.4502)
Hg (0.6652, 0.2784, 0.1232)
F (0.1322, 0.9773, 0.4931)
F (0.3663, 0.4104, 0.7369)

Computed properties:
E_tot: -9.46 eV for the cell shown

---

This record from Alexandria describes a geometry-optimized HgF structure. The functional is PBE.

abc: 7.7706 7.7706 7.7706
angles: 90.00 90.00 90.00
Fractional positions:
Hg (0.3630, 0.3630, 0.3630)
Hg (0.3630, 0.6370, 0.6370)
Hg (0.6370, 0.3630, 0.6370)
Hg (0.6370, 0.6370, 0.3630)
Hg (0.8630, 0.8630, 0.8630)
Hg (0.8630, 0.1370, 0.1370)
Hg (0.1370, 0.8630, 0.1370)
Hg (0.1370, 0.1370, 0.8630)
F (0.1993, 0.1993, 0.1993)
F (0.1993, 0.8007, 0.8007)
F (0.8007, 0.1993, 0.8007)
F (0.8007, 0.8007, 0.1993)
F (0.6993, 0.6993, 0.6993)
F (0.6993, 0.3007, 0.3007)
F (0.3007, 0.6993, 0.3007)
F (0.3007, 0.3007, 0.6993)

Computed properties:
E_tot: -31.41 eV for the cell shown

---

Record order is preserved below.
E_form (uncorrected): -0.851; -1.216; -0.468; -0.750; -0.845; -1.154; -1.102; -0.350; -0.449; -0.830; -1.088; -0.477; -1.026; -1.394; -1.328; -0.435; -1.109; -0.605; -0.752; -0.877 eV/atom